1.
The following is a DFT calculation (GGA-PBE) of crystalline KBrF at its relaxed geometry. Values from VASP.

Structure (Quantum ESPRESSO input):
```
&SYSTEM
  ibrav = 0, nat = 12, ntyp = 3
/
ATOMIC_SPECIES
K 39.10 K.upf
Br 79.90 Br.upf
F 19.00 F.upf
ATOMIC_POSITIONS crystal
K 0.247 0.250 0.111
K 0.253 0.750 0.611
K 0.747 0.250 0.389
K 0.753 0.750 0.889
Br 0.012 0.250 0.772
Br 0.488 0.750 0.272
Br 0.512 0.250 0.728
Br 0.988 0.750 0.228
F 0.246 0.250 0.377
F 0.254 0.750 0.877
F 0.746 0.250 0.123
F 0.754 0.750 0.623
CELL_PARAMETERS angstrom
5.115 0.000 0.000
0.000 6.495 0.000
0.000 0.000 9.831
```

Values from the calculation:
- symmetry = Pnma, No. 62



2.
The following is a DFT calculation (GGA-PBE) of crystalline K2BrF at its relaxed geometry. Values from VASP.

Structure (Quantum ESPRESSO input):
```
&SYSTEM
  ibrav = 0, nat = 4, ntyp = 3
/
ATOMIC_SPECIES
K 39.10 K.upf
Br 79.90 Br.upf
F 19.00 F.upf
ATOMIC_POSITIONS crystal
K 0.000 0.000 0.218
K 0.000 0.000 0.782
Br 0.500 0.500 0.500
F 0.500 0.500 0.000
CELL_PARAMETERS angstrom
3.678 0.000 0.000
0.000 3.678 0.000
0.000 0.000 7.426
```

Values from the calculation:
- offset from the most stable computed form (kJ/mol of formula units) = 60.5
- symmetry = P4/mmm, No. 123



3.
The following is a DFT calculation (GGA-PBE) of crystalline K4Br3F at its relaxed geometry. Values from VASP.

Structure (Quantum ESPRESSO input):
```
&SYSTEM
  ibrav = 0, nat = 8, ntyp = 3
/
ATOMIC_SPECIES
K 39.10 K.upf
Br 79.90 Br.upf
F 19.00 F.upf
ATOMIC_POSITIONS crystal
K 0.000 0.000 0.000
K 0.000 0.500 0.500
K 0.500 0.000 0.500
K 0.500 0.500 0.000
Br 0.000 0.000 0.500
Br 0.000 0.500 0.000
Br 0.500 0.000 0.000
F 0.500 0.500 0.500
CELL_PARAMETERS angstrom
6.510 0.000 0.000
0.000 6.510 0.000
0.000 0.000 6.510
```

Values from the calculation:
- offset from the most stable computed form (kJ/mol of formula units) = 16.9
- symmetry = Pm-3m, No. 221



4.
The following is a DFT calculation (GGA-PBE) of crystalline K2BrF2 at its relaxed geometry. Values from VASP.

Structure (Quantum ESPRESSO input):
```
&SYSTEM
  ibrav = 0, nat = 10, ntyp = 3
/
ATOMIC_SPECIES
K 39.10 K.upf
Br 79.90 Br.upf
F 19.00 F.upf
ATOMIC_POSITIONS crystal
K 0.000 0.000 0.169
K 0.000 0.000 0.831
K 0.500 0.500 0.331
K 0.500 0.500 0.669
Br 0.000 0.000 0.500
Br 0.500 0.500 0.000
F 0.000 0.500 0.250
F 0.000 0.500 0.750
F 0.500 0.000 0.250
F 0.500 0.000 0.750
CELL_PARAMETERS angstrom
4.793 0.000 0.000
0.000 4.793 0.000
0.000 0.000 11.693
```

Values from the calculation:
- offset from the most stable computed form (kJ/mol of formula units) = 14.1
- symmetry = I4/mmm, No. 139



5.
The following is a DFT calculation (GGA-PBE) of crystalline K2Br3F6 at its relaxed geometry. Values from VASP.

Structure (Quantum ESPRESSO input):
```
&SYSTEM
  ibrav = 0, nat = 22, ntyp = 3
/
ATOMIC_SPECIES
K 39.10 K.upf
Br 79.90 Br.upf
F 19.00 F.upf
ATOMIC_POSITIONS crystal
K 0.205 0.708 0.505
K 0.292 0.795 0.995
K 0.708 0.205 0.005
K 0.795 0.292 0.495
Br 0.120 0.218 0.259
Br 0.218 0.120 0.759
Br 0.462 0.538 0.250
Br 0.538 0.462 0.750
Br 0.782 0.880 0.241
Br 0.880 0.782 0.741
F 0.105 0.127 0.118
F 0.127 0.105 0.618
F 0.129 0.310 0.399
F 0.310 0.129 0.899
F 0.414 0.486 0.108
F 0.486 0.414 0.608
F 0.514 0.586 0.392
F 0.586 0.514 0.892
F 0.690 0.871 0.101
F 0.871 0.690 0.601
F 0.873 0.895 0.382
F 0.895 0.873 0.882
CELL_PARAMETERS angstrom
4.868 -3.897 0.000
4.868 3.897 0.000
-3.626 0.000 13.762
```

Values from the calculation:
- symmetry = C2/c, No. 15



6.
The following is a DFT calculation (GGA-PBE) of crystalline KBrF2 at its relaxed geometry. Values from VASP.

Structure (Quantum ESPRESSO input):
```
&SYSTEM
  ibrav = 0, nat = 16, ntyp = 3
/
ATOMIC_SPECIES
K 39.10 K.upf
Br 79.90 Br.upf
F 19.00 F.upf
ATOMIC_POSITIONS crystal
K 0.000 0.000 0.000
K 0.000 0.500 0.250
K 0.500 0.000 0.750
K 0.500 0.500 0.500
Br 0.000 0.000 0.500
Br 0.000 0.500 0.750
Br 0.500 0.000 0.250
Br 0.500 0.500 0.000
F 0.161 0.250 0.625
F 0.250 0.661 0.875
F 0.250 0.839 0.375
F 0.339 0.250 0.125
F 0.661 0.750 0.125
F 0.750 0.161 0.375
F 0.750 0.339 0.875
F 0.839 0.750 0.625
CELL_PARAMETERS angstrom
4.770 0.000 0.000
0.000 4.770 0.000
0.000 0.000 15.328
```

Values from the calculation:
- offset from the most stable computed form (kJ/mol of formula units) = 179.7
- symmetry = I-42d, No. 122



7.
The following is a DFT calculation (GGA-PBE) of crystalline K3Br2F at its relaxed geometry. Values from VASP.

Structure (Quantum ESPRESSO input):
```
&SYSTEM
  ibrav = 0, nat = 24, ntyp = 3
/
ATOMIC_SPECIES
K 39.10 K.upf
Br 79.90 Br.upf
F 19.00 F.upf
ATOMIC_POSITIONS crystal
K 0.064 0.250 0.146
K 0.143 0.750 0.555
K 0.224 0.250 0.793
K 0.276 0.750 0.293
K 0.357 0.250 0.055
K 0.436 0.750 0.646
K 0.564 0.250 0.354
K 0.643 0.750 0.945
K 0.724 0.250 0.707
K 0.776 0.750 0.207
K 0.857 0.250 0.445
K 0.936 0.750 0.854
Br 0.012 0.750 0.333
Br 0.164 0.750 0.981
Br 0.336 0.250 0.481
Br 0.488 0.250 0.833
Br 0.512 0.750 0.167
Br 0.664 0.750 0.519
Br 0.836 0.250 0.019
Br 0.988 0.250 0.667
F 0.247 0.250 0.205
F 0.253 0.750 0.705
F 0.747 0.250 0.295
F 0.753 0.750 0.795
CELL_PARAMETERS angstrom
12.936 0.000 0.000
0.000 4.454 0.000
0.000 0.000 13.603
```

Values from the calculation:
- offset from the most stable computed form (kJ/mol of formula units) = 0.0
- symmetry = Pnma, No. 62



8.
The following is a DFT calculation (GGA-PBE) of crystalline KBrF2 at its relaxed geometry. Values from VASP.

Structure (Quantum ESPRESSO input):
```
&SYSTEM
  ibrav = 0, nat = 16, ntyp = 3
/
ATOMIC_SPECIES
K 39.10 K.upf
Br 79.90 Br.upf
F 19.00 F.upf
ATOMIC_POSITIONS crystal
K 0.000 0.000 0.000
K 0.000 0.500 0.500
K 0.500 0.000 0.500
K 0.500 0.500 0.000
Br 0.000 0.000 0.500
Br 0.000 0.500 0.000
Br 0.500 0.000 0.000
Br 0.500 0.500 0.500
F 0.250 0.250 0.250
F 0.250 0.250 0.750
F 0.250 0.750 0.250
F 0.250 0.750 0.750
F 0.750 0.250 0.250
F 0.750 0.250 0.750
F 0.750 0.750 0.250
F 0.750 0.750 0.750
CELL_PARAMETERS angstrom
6.681 0.000 0.000
0.000 6.681 0.000
0.000 0.000 6.681
```

Values from the calculation:
- offset from the most stable computed form (kJ/mol of formula units) = 235.3
- symmetry = Fm-3m, No. 225



9.
The following is a DFT calculation (GGA-PBE) of crystalline K3BrF at its relaxed geometry. Values from VASP.

Structure (Quantum ESPRESSO input):
```
&SYSTEM
  ibrav = 0, nat = 5, ntyp = 3
/
ATOMIC_SPECIES
K 39.10 K.upf
Br 79.90 Br.upf
F 19.00 F.upf
ATOMIC_POSITIONS crystal
K 0.000 0.000 0.500
K 0.000 0.500 0.000
K 0.500 0.000 0.000
Br 0.500 0.500 0.500
F 0.000 0.000 0.000
CELL_PARAMETERS angstrom
5.554 0.000 0.000
0.000 5.554 0.000
0.000 0.000 5.554
```

Values from the calculation:
- offset from the most stable computed form (kJ/mol of formula units) = 0.0
- symmetry = Pm-3m, No. 221



10.
The following is a DFT calculation (GGA-PBE) of crystalline K3BrF2 at its relaxed geometry. Values from VASP.

Structure (Quantum ESPRESSO input):
```
&SYSTEM
  ibrav = 0, nat = 12, ntyp = 3
/
ATOMIC_SPECIES
K 39.10 K.upf
Br 79.90 Br.upf
F 19.00 F.upf
ATOMIC_POSITIONS crystal
K 0.250 0.048 0.250
K 0.250 0.250 0.749
K 0.250 0.452 0.250
K 0.750 0.548 0.750
K 0.750 0.750 0.251
K 0.750 0.952 0.750
Br 0.250 0.750 0.751
Br 0.750 0.250 0.249
F 0.250 0.061 0.750
F 0.250 0.439 0.750
F 0.750 0.561 0.250
F 0.750 0.939 0.250
CELL_PARAMETERS angstrom
4.331 0.000 0.000
0.000 13.706 0.000
0.000 0.000 5.341
```

Values from the calculation:
- offset from the most stable computed form (kJ/mol of formula units) = 0.0
- symmetry = Pmmn, No. 59



11.
The following is a DFT calculation (GGA-PBE) of crystalline KBr3F at its relaxed geometry. Values from VASP.

Structure (Quantum ESPRESSO input):
```
&SYSTEM
  ibrav = 0, nat = 5, ntyp = 3
/
ATOMIC_SPECIES
K 39.10 K.upf
Br 79.90 Br.upf
F 19.00 F.upf
ATOMIC_POSITIONS crystal
K 0.000 0.000 0.000
Br 0.000 0.000 0.500
Br 0.000 0.500 0.000
Br 0.500 0.000 0.000
F 0.500 0.500 0.500
CELL_PARAMETERS angstrom
6.381 0.000 0.000
0.000 6.381 0.000
0.000 0.000 6.381
```

Values from the calculation:
- offset from the most stable computed form (kJ/mol of formula units) = 226.2
- symmetry = Pm-3m, No. 221



12.
The following is a DFT calculation (GGA-PBE) of crystalline KBrF4 at its relaxed geometry. Values from VASP.

Structure (Quantum ESPRESSO input):
```
&SYSTEM
  ibrav = 0, nat = 12, ntyp = 3
/
ATOMIC_SPECIES
K 39.10 K.upf
Br 79.90 Br.upf
F 19.00 F.upf
ATOMIC_POSITIONS crystal
K 0.000 0.000 0.000
K 0.500 0.500 0.500
Br 0.000 0.500 0.750
Br 0.500 0.000 0.250
F 0.208 0.292 0.750
F 0.208 0.708 0.750
F 0.292 0.208 0.250
F 0.292 0.792 0.250
F 0.708 0.208 0.250
F 0.708 0.792 0.250
F 0.792 0.292 0.750
F 0.792 0.708 0.750
CELL_PARAMETERS angstrom
6.588 0.000 0.000
0.000 6.588 0.000
0.000 0.000 6.153
```

Values from the calculation:
- offset from the most stable computed form (kJ/mol of formula units) = 21.9
- symmetry = I-4m2, No. 119



Number 1: formation energy (no corrections) -1.6313 eV per atom. Number 2: formation energy (no corrections) -2.0555 eV per atom. Number 3: formation energy (no corrections) -1.9013 eV per atom. Number 4: formation energy (no corrections) -1.8725 eV per atom. Number 5: formation energy (no corrections) -1.5166 eV per atom. Number 6: formation energy (no corrections) -1.3148 eV per atom. Number 7: formation energy (no corrections) -2.0371 eV per atom. Number 8: formation energy (no corrections) -1.1707 eV per atom. Number 9: formation energy (no corrections) -1.5852 eV per atom. Number 10: formation energy (no corrections) -2.3856 eV per atom. Number 11: formation energy (no corrections) -0.0541 eV per atom. Number 12: formation energy (no corrections) -1.6475 eV per atom.